(1)
# AcYBi (PBE, relaxed)
data_AcYBi
_cell_length_a 7.8733
_cell_length_b 7.8733
_cell_length_c 7.8733
_cell_angle_alpha 90.00
_cell_angle_beta 90.00
_cell_angle_gamma 90.00
_space_group_name_H-M_alt 'P 1'
_space_group_IT_number 1
loop_
_space_group_symop_operation_xyz
'x,y,z'
loop_
_atom_site_label
_atom_site_fract_x
_atom_site_fract_y
_atom_site_fract_z
Y1 0.2981 0.2981 0.2981
Y2 0.7981 0.2019 0.7019
Y3 0.7019 0.7981 0.2019
Y4 0.2019 0.7019 0.7981
Ac1 0.0536 0.0536 0.0536
Ac2 0.4464 0.9464 0.5536
Ac3 0.9464 0.5536 0.4464
Ac4 0.5536 0.4464 0.9464
Bi1 0.4768 0.0232 0.9768
Bi2 0.9768 0.4768 0.0232
Bi3 0.0232 0.9768 0.4768
Bi4 0.5232 0.5232 0.5232
# E_tot ... -57.6 eV per cell
# Formation energy from the elements ... 0.1 eV/f.u.
# Magnetic moment ... 0.0 μB per formula unit
# SG ... P2_13, No. 198

(2)
# NdSmDy3Er (PBE, relaxed)
data_NdSmDy3Er
_cell_length_a 5.9132
_cell_length_b 6.2946
_cell_length_c 11.8402
_cell_angle_alpha 90.00
_cell_angle_beta 90.00
_cell_angle_gamma 118.02
_space_group_name_H-M_alt 'P 1'
_space_group_IT_number 1
loop_
_space_group_symop_operation_xyz
'x,y,z'
loop_
_atom_site_label
_atom_site_fract_x
_atom_site_fract_y
_atom_site_fract_z
Er1 0.8297 0.6594 0.7500
Er2 0.1703 0.3406 0.2500
Sm1 0.4976 0.9952 0.7500
Sm2 0.5024 0.0048 0.2500
Nd1 0.0000 0.0000 0.0000
Nd2 0.0000 0.0000 0.5000
Dy1 0.3284 0.6569 0.4979
Dy2 0.6716 0.3431 0.5021
Dy3 0.1729 0.3457 0.7500
Dy4 0.8271 0.6543 0.2500
Dy5 0.6716 0.3431 0.9979
Dy6 0.3284 0.6569 0.0021
# E_tot ... -54.3 eV per cell
# Formation energy from the elements ... 0.7 eV/f.u.
# Magnetic moment ... 0.0 μB per formula unit
# SG ... Cmcm, No. 63

(3)
# GdPa2Sn (PBE, relaxed)
data_GdPa2Sn
_cell_length_a 5.1237
_cell_length_b 4.4777
_cell_length_c 4.4777
_cell_angle_alpha 90.00
_cell_angle_beta 90.00
_cell_angle_gamma 90.00
_space_group_name_H-M_alt 'P 1'
_space_group_IT_number 1
loop_
_space_group_symop_operation_xyz
'x,y,z'
loop_
_atom_site_label
_atom_site_fract_x
_atom_site_fract_y
_atom_site_fract_z
Pa1 0.0000 0.0000 0.5000
Pa2 0.0000 0.5000 0.0000
Sn1 0.5000 0.0000 0.0000
Gd1 0.5000 0.5000 0.5000
# E_tot ... -37.8 eV per cell
# Formation energy from the elements ... -0.7 eV/f.u.
# Magnetic moment ... 6.6 μB per formula unit
# SG ... P4/mmm, No. 123

no.,volume (Å³ per atom)
1,40.67
2,32.42
3,25.68